A relaxed FeCuPdRh crystal, computed with GGA-PBE.

The structure in POSCAR format:
```
FeCuPdRh
1.0
0.0000 3.0112 3.0112
3.0112 0.0000 3.0112
3.0112 3.0112 0.0000
Fe Cu Pd Rh
1 1 1 1
Direct
0.0000 0.0000 0.0000 Fe
0.5000 0.5000 0.5000 Cu
0.7500 0.7500 0.7500 Pd
0.2500 0.2500 0.2500 Rh
```

ΔE_f = -0.061 eV per atom
Space-group type = No. 216



A relaxed Hf3Ga crystal, computed with GGA-PBE.

The structure in POSCAR format:
```
Hf3Ga
1.0
-2.1044 2.1044 4.5922
2.1044 -2.1044 4.5922
2.1044 2.1044 -4.5922
Hf Ga
3 1
Direct
0.0000 0.0000 0.0000 Hf
0.2500 0.7500 0.5000 Hf
0.7500 0.2500 0.5000 Hf
0.5000 0.5000 0.0000 Ga
```

ΔE_f = -0.233 eV per atom
Space-group type = No. 139



A relaxed Sm4OsRh crystal, computed with GGA-PBE.

The structure in POSCAR format:
```
Sm4OsRh
1.0
4.5395 -6.6761 0.0000
4.5395 6.6761 0.0000
-3.5828 0.0000 5.2380
Sm Os Rh
8 2 2
Direct
0.0437 0.6841 0.8966 Sm
0.2457 0.3734 0.7379 Sm
0.3159 0.9563 0.6034 Sm
0.3734 0.2457 0.2379 Sm
0.6266 0.7543 0.7621 Sm
0.6841 0.0437 0.3966 Sm
0.7543 0.6266 0.2621 Sm
0.9563 0.3159 0.1034 Sm
0.3652 0.6348 0.2500 Os
0.6348 0.3652 0.7500 Os
0.0012 0.9988 0.2500 Rh
0.9988 0.0012 0.7500 Rh
```

ΔE_f = -0.357 eV per atom
Space-group type = No. 15
Energy relative to the lowest polymorph listed for this composition = 6 meV per atom



no.,energy (eV per atom),spin magnetization (μB per cell)
1,-6.336,4.26
2,-8.455,0.00
3,-6.600,0.00